(1)
The following is a DFT calculation (PBE) of a relaxed structure of TcNiAsBr2.

Structure (extended XYZ):
```
5
Lattice="4.815 0.000 0.000 0.000 4.815 0.000 0.000 0.000 4.859" Properties=species:S:1:pos:R:3 pbc="T T T"
Ni 0.000 0.000 0.000
Tc 2.408 2.408 2.429
Br 0.000 2.408 0.000
Br 2.408 0.000 0.000
As 0.000 0.000 2.429
```

**V**: 113 Å³/cell
**Total magnetization**: 4.06 μB/f.u.
**Energy relative to the lowest polymorph listed for this composition**: 0.000 eV per atom
**ΔE_f (raw)**: 837.6 meV per atom
**Final energy**: -3.991 eV/atom

(2)
The following is a DFT calculation (PBE) of a relaxed structure of ScRu3.

Structure (extended XYZ):
```
16
Lattice="-2.010 -2.068 4.101 8.177 -2.003 2.998 0.245 4.808 2.544" Properties=species:S:1:pos:R:3 pbc="T T T"
Ru 0.397 1.751 6.748
Ru 3.738 2.804 4.637
Ru -0.129 3.751 3.219
Ru 7.611 -0.697 5.052
Ru 1.345 1.666 4.105
Ru 6.541 -3.014 6.424
Ru 6.015 -1.014 2.895
Ru 5.067 -0.929 5.537
Ru -1.199 1.434 4.591
Ru 2.674 -2.067 5.006
Ru 2.667 0.487 6.008
Ru 3.745 0.250 3.635
Sc 1.166 -0.847 2.914
Sc 6.189 1.390 4.029
Sc 5.246 1.584 6.729
Sc 0.223 -0.653 5.614
```

**V**: 244 Å³/cell
**E_form**: -137 meV/atom
**Total magnetization**: 0.00 μB/f.u.
**Final energy**: -8.677 eV/atom

(3)
The following is a DFT calculation (PBE) of a relaxed structure of LaNbSe2I.

Structure (extended XYZ):
```
5
Lattice="-1.874 -4.631 0.649 3.902 -2.055 -3.396 3.065 -0.688 3.938" Properties=species:S:1:pos:R:3 pbc="T T T"
Nb 0.000 0.000 0.000
Se -0.937 -2.315 0.325
Se 1.533 -0.344 1.969
La 2.547 -3.687 0.595
I 1.951 -1.028 -1.698
```

**V**: 141 Å³/cell
**Total magnetization**: 0.00 μB/f.u.
**ΔE_f (raw)**: -628.2 meV per atom
**Final energy**: -5.331 eV/atom

(4)
The following is a DFT calculation (PBE) of a relaxed structure of NdHo3.

Structure (extended XYZ):
```
4
Lattice="6.169 -0.001 0.000 2.050 5.818 0.000 -4.109 -2.909 3.565" Properties=species:S:1:pos:R:3 pbc="T T T"
Ho 3.084 0.000 1.782
Ho 4.109 2.909 0.000
Ho 1.025 2.909 1.782
Nd 0.000 0.000 0.000
```

**V**: 128 Å³/cell
**E_form**: 20 meV/atom
**Total magnetization**: 0.00 μB/f.u.
**Energy relative to the lowest polymorph listed for this composition**: 0.008 eV per atom
**Final energy**: -4.605 eV/atom

(5)
The following is a DFT calculation (PBE) of a relaxed structure of LiCaGdIn.

Structure (extended XYZ):
```
4
Lattice="-2.243 3.017 3.848 -5.100 1.639 -0.497 -3.816 -2.083 3.170" Properties=species:S:1:pos:R:3 pbc="T T T"
Gd -8.369 1.930 4.891
In -5.579 1.287 3.261
Ca -2.790 0.643 1.630
Li 0.000 0.000 0.000
```

**V**: 110 Å³/cell
**E_form**: -277 meV/atom
**Total magnetization**: 7.34 μB/f.u.
**Final energy**: -5.460 eV/atom

(6)
The following is a DFT calculation (PBE) of a relaxed structure of KCeBO4.

Structure (extended XYZ):
```
14
Lattice="-1.584 -5.157 2.058 5.614 1.037 0.865 -1.410 2.764 5.841" Properties=species:S:1:pos:R:3 pbc="T T T"
Ce 3.459 2.165 5.428
Ce -0.838 -3.522 3.336
K 2.015 -2.060 1.461
K 1.310 -0.679 4.382
O 3.939 -0.148 1.504
O -0.065 1.529 4.878
O 2.686 -2.886 3.886
O 3.416 0.877 3.671
O 0.140 -0.283 2.040
O -1.319 -1.209 7.260
O 2.481 -1.074 6.724
O -0.796 -2.234 5.093
B 4.304 0.903 2.484
B -1.684 -2.260 6.280
```

**V**: 205 Å³/cell
**Total magnetization**: 0.00 μB/f.u.
**ΔE_f (raw)**: -2485.1 meV per atom
**Final energy**: -7.277 eV/atom

(7)
The following is a DFT calculation (PBE) of a relaxed structure of TlReAsBr2.

Structure (extended XYZ):
```
5
Lattice="-0.816 3.439 4.392 2.502 -3.741 3.395 4.886 2.392 -0.965" Properties=species:S:1:pos:R:3 pbc="T T T"
As 2.443 1.196 -0.482
Br 1.251 -1.871 1.697
Br -0.408 1.720 2.196
Tl 0.000 0.000 0.000
Re 3.286 1.045 3.411
```

**V**: 176 Å³/cell
**Total magnetization**: 4.37 μB/f.u.
**Energy relative to the lowest polymorph listed for this composition**: 1.170 eV per atom
**ΔE_f (raw)**: 1394.9 meV per atom
**Final energy**: -3.167 eV/atom

(8)
The following is a DFT calculation (PBE) of a relaxed structure of NdTm3C.

Structure (extended XYZ):
```
5
Lattice="4.990 0.000 0.000 0.000 4.990 0.000 0.000 0.000 4.990" Properties=species:S:1:pos:R:3 pbc="T T T"
Tm 2.495 0.000 0.000
Tm 0.000 2.495 0.000
Tm 0.000 0.000 2.495
Nd 2.495 2.495 2.495
C 0.000 0.000 0.000
```

**V**: 124 Å³/cell
**E_form**: -41 meV/atom
**Total magnetization**: 0.00 μB/f.u.
**Final energy**: -5.522 eV/atom